# SiBS2N

Crystalline SiBS2N at its relaxed geometry (PBE, Alexandria).

```
SiBS2N
1.0
4.677 0.000 0.000
0.000 4.677 0.000
0.000 0.000 3.301
Si B S N
1 1 2 1
Direct
0.000 0.000 0.000 Si
0.500 0.500 0.500 B
0.000 0.500 0.000 S
0.500 0.000 0.000 S
0.000 0.000 0.500 N
```

Properties
The uncorrected formation energy comes out at 1.119 eV/atom. Its symmetry is P4/mmm (123). The density is 2691 kg/m3. Its polymorph energy (0 for the lowest one) is 0.6647 eV/atom. The total energy is -4.617 eV/atom.



# SnBSN2

Crystalline SnBSN2 at its relaxed geometry (PBE, Alexandria).

```
SnBSN2
1.0
4.140 0.000 0.000
0.000 4.140 0.000
0.000 0.000 5.258
Sn B S N
1 1 1 2
Direct
0.000 0.000 0.000 Sn
0.500 0.500 0.500 B
0.000 0.000 0.500 S
0.000 0.500 0.000 N
0.500 0.000 0.000 N
```

Properties
The uncorrected formation energy comes out at 2.104 eV/atom. Its symmetry is P4/mmm (123). The density is 3494 kg/m3. Its polymorph energy (0 for the lowest one) is 0.8607 eV/atom. The total energy is -4.188 eV/atom.